Computed, not measured: an optimized crystal structure of Na2YGeF at the PBE level of DFT.

The space group is P4/mmm (No. 123) and the conventional cell measures 4.246, 4.246 and 6.908 Å, with angles of 90.00, 90.00 and 90.00 degrees. The distinct sites, in fractional coordinates, are Na at (0.000, 0.500, 0.000), Y at (0.000, 0.000, 0.500), Ge at (0.500, 0.500, 0.500) and F at (0.500, 0.500, 0.000).

Its volume is 125 Å³/cell. The uncorrected formation energy comes out at -0.94 eV per atom. Its magnetization is 0.4 μB per formula unit.

Computed, not measured: an optimized crystal structure of NaZnGe2F at the PBE level of DFT.

The space group is P4/mmm (No. 123) and the conventional cell measures 4.594, 4.594 and 4.974 Å, with angles of 90.00, 90.00 and 90.00 degrees. The distinct sites, in fractional coordinates, are Na at (0.000, 0.000, 0.000), Zn at (0.500, 0.500, 0.000), Ge at (0.000, 0.500, 0.500) and F at (0.500, 0.500, 0.500).

Its volume is 105 Å³/cell. The uncorrected formation energy comes out at -0.13 eV per atom. Its magnetization is 0.0 μB per formula unit.

Q: The lowest magnetization belongs to which entry?
A: NaZnGe2F

Q: What is the formula in the second record?
A: NaZnGe2F

Repeat the first record exactly.
Computed, not measured: an optimized crystal structure of Na2YGeF at the PBE level of DFT.

The space group is P4/mmm (No. 123) and the conventional cell measures 4.246, 4.246 and 6.908 Å, with angles of 90.00, 90.00 and 90.00 degrees. The distinct sites, in fractional coordinates, are Na at (0.000, 0.500, 0.000), Y at (0.000, 0.000, 0.500), Ge at (0.500, 0.500, 0.500) and F at (0.500, 0.500, 0.000).

Its volume is 125 Å³/cell. The uncorrected formation energy comes out at -0.94 eV per atom. Its magnetization is 0.4 μB per formula unit.